Record 1
First-principles (PBE) data for an optimized crystal structure of PRh, as listed in the Alexandria database.

Summary:
energy of formation: -532 meV/atom
M_tot: 0.00 μB per formula unit
total DFT energy (no corrections): -0.2540 Ha/atom

abc: 7.4414 4.9761 7.0115
angles: 90.00 90.00 90.00
Fractional coordinates of all 16 atoms:
P (0.3627, 0.9696, 0.8942)
P (0.1344, 0.4712, 0.6541)
P (0.8656, 0.9712, 0.8459)
P (0.6373, 0.4696, 0.6058)
P (0.1373, 0.0304, 0.3942)
P (0.6344, 0.0288, 0.3459)
P (0.3656, 0.5288, 0.1541)
P (0.8627, 0.5304, 0.1058)
Rh (0.5946, 0.9102, 0.6735)
Rh (0.0946, 0.5898, 0.3265)
Rh (0.8965, 0.2084, 0.5701)
Rh (0.9054, 0.0898, 0.1735)
Rh (0.4054, 0.4102, 0.8265)
Rh (0.6035, 0.7916, 0.0701)
Rh (0.3965, 0.2916, 0.4299)
Rh (0.1035, 0.7084, 0.9299)

---

Record 2
First-principles (PBE) data for an optimized crystal structure of Y3ZnSe, as listed in the Alexandria database.

Summary:
energy relative to the elements, uncorrected: -0.42 eV/atom
M_tot: 0.00 μB per formula unit
total DFT energy (no corrections): -0.1928 Ha/atom

abc: 5.3267 5.3267 5.3267
angles: 90.00 90.00 90.00
Fractional coordinates of all 5 atoms:
Se (0.0000, 0.0000, 0.0000)
Y (0.5000, 0.0000, 0.0000)
Y (0.0000, 0.5000, 0.0000)
Y (0.0000, 0.0000, 0.5000)
Zn (0.5000, 0.5000, 0.5000)

---

Record 3
First-principles (PBE) data for an optimized crystal structure of SrCr2W, as listed in the Alexandria database.

Summary:
energy of formation: 844 meV/atom
M_tot: 0.00 μB per formula unit
total DFT energy (no corrections): -0.2803 Ha/atom

abc: 4.7900 4.7900 6.1051
angles: 79.84 79.84 37.85
Fractional coordinates of all 4 atoms:
Cr (0.9715, 0.9715, 0.1354)
Cr (0.5285, 0.5285, 0.3646)
W (0.2500, 0.2500, 0.2500)
Sr (0.7500, 0.7500, 0.7500)

---

Record 4
First-principles (PBE) data for an optimized crystal structure of Ag2TePt, as listed in the Alexandria database.

Summary:
energy relative to the elements, uncorrected: 0.06 eV/atom
M_tot: 0.00 μB per formula unit
total DFT energy (no corrections): -0.1346 Ha/atom

abc: 3.6063 3.6063 6.0579
angles: 90.00 90.00 90.00
Fractional coordinates of all 4 atoms:
Pt (0.0000, 0.0000, 0.5219)
Ag (0.0000, 0.0000, 0.0291)
Ag (0.5000, 0.5000, 0.2431)
Te (0.5000, 0.5000, 0.7060)

---

Record 5
First-principles (PBE) data for an optimized crystal structure of CeMn4B4, as listed in the Alexandria database.

Summary:
energy of formation: -446 meV/atom
M_tot: 3.76 μB per formula unit
total DFT energy (no corrections): -0.2995 Ha/atom

abc: 3.9200 7.0403 7.0403
angles: 90.00 90.00 90.00
Last column: magnetic moment on the atom in μB.
Fractional coordinates of all 18 atoms:
Mn (0.6165, 0.8795, 0.6259)  0.97
Mn (0.1165, 0.1259, 0.6205)  0.97
Mn (0.6165, 0.1205, 0.3741)  0.97
Mn (0.3835, 0.3741, 0.8795)  0.97
Mn (0.8835, 0.6205, 0.8741)  0.97
Mn (0.1165, 0.8741, 0.3795)  0.97
Mn (0.8835, 0.3795, 0.1259)  0.97
Mn (0.3835, 0.6259, 0.1205)  0.97
B (0.3862, 0.3036, 0.1679)  -0.06
B (0.6138, 0.1679, 0.6964)  -0.06
B (0.8862, 0.3321, 0.8036)  -0.06
B (0.3862, 0.6964, 0.8321)  -0.06
B (0.8862, 0.6679, 0.1964)  -0.06
B (0.1138, 0.8036, 0.6679)  -0.06
B (0.6138, 0.8321, 0.3036)  -0.06
B (0.1138, 0.1964, 0.3321)  -0.06
Ce (0.5000, 0.5000, 0.5000)  0.06
Ce (0.0000, 0.0000, 0.0000)  0.06

---

Record 6
First-principles (PBE) data for an optimized crystal structure of TlCd2Pt, as listed in the Alexandria database.

Summary:
energy of formation: -11 meV/atom
M_tot: 0.00 μB per formula unit
total DFT energy (no corrections): -0.0944 Ha/atom

abc: 9.6515 9.6515 9.6515
angles: 19.57 19.57 19.57
Fractional coordinates of all 4 atoms:
Cd (0.9895, 0.9895, 0.9895)
Cd (0.5105, 0.5105, 0.5105)
Tl (0.7500, 0.7500, 0.7500)
Pt (0.2500, 0.2500, 0.2500)

---

Record 7
First-principles (PBE) data for an optimized crystal structure of Tb2MgCd6, as listed in the Alexandria database.

Summary:
energy of formation: -237 meV/atom
M_tot: 0.00 μB per formula unit
total DFT energy (no corrections): -0.0754 Ha/atom

abc: 3.3302 8.6595 8.6595
angles: 60.00 89.96 89.96
Fractional coordinates of all 9 atoms:
Cd (0.4989, 0.0000, 0.6706)
Cd (0.5011, 0.0000, 0.3294)
Cd (0.5000, 0.6706, 0.3294)
Cd (0.4989, 0.6706, 0.0000)
Cd (0.5000, 0.3294, 0.6706)
Cd (0.5011, 0.3294, 0.0000)
Mg (0.0000, 0.0000, 0.0000)
Tb (0.0000, 0.6667, 0.6667)
Tb (0.0000, 0.3333, 0.3333)

---

Record 8
First-principles (PBE) data for an optimized crystal structure of Ho2TmSbC, as listed in the Alexandria database.

Summary:
energy relative to the elements, uncorrected: -0.63 eV/atom
M_tot: 0.00 μB per formula unit
total DFT energy (no corrections): -0.2213 Ha/atom

abc: 4.7844 4.8505 4.8505
angles: 90.00 90.00 90.00
Fractional coordinates of all 5 atoms:
Tm (0.5000, 0.0000, 0.0000)
Sb (0.5000, 0.5000, 0.5000)
Ho (0.0000, 0.0000, 0.5000)
Ho (0.0000, 0.5000, 0.0000)
C (0.0000, 0.0000, 0.0000)

---

Record 9
First-principles (PBE) data for an optimized crystal structure of La2Ni3As4Au, as listed in the Alexandria database.

Summary:
energy of formation: -800 meV/atom
M_tot: 0.00 μB per formula unit
total DFT energy (no corrections): -0.2097 Ha/atom

abc: 4.3455 4.3455 9.7452
angles: 90.00 90.00 90.00
Fractional coordinates of all 10 atoms:
Ni (0.0000, 0.0000, 0.5000)
Ni (0.0000, 0.5000, 0.1095)
Ni (0.5000, 0.0000, 0.8905)
As (0.0000, 0.0000, 0.0000)
As (0.5000, 0.0000, 0.6458)
As (0.5000, 0.5000, 0.0000)
As (0.0000, 0.5000, 0.3542)
Au (0.5000, 0.5000, 0.5000)
La (0.0000, 0.5000, 0.7570)
La (0.5000, 0.0000, 0.2430)

---

Record 10
First-principles (PBE) data for an optimized crystal structure of Th3BiIrC, as listed in the Alexandria database.

Summary:
energy of formation: -546 meV/atom
M_tot: 0.00 μB per formula unit
total DFT energy (no corrections): -0.2909 Ha/atom

abc: 4.2223 9.0472 9.6906
angles: 104.15 90.00 90.00
Fractional coordinates of all 12 atoms:
Th (0.2500, 0.1240, 0.8454)
Th (0.2500, 0.8291, 0.4755)
Th (0.7500, 0.4386, 0.1445)
Th (0.2500, 0.5614, 0.8555)
Th (0.7500, 0.1709, 0.5245)
Th (0.7500, 0.8760, 0.1546)
Bi (0.2500, 0.1808, 0.2289)
Bi (0.7500, 0.8192, 0.7711)
C (0.7500, 0.9133, 0.3976)
C (0.2500, 0.0867, 0.6024)
Ir (0.7500, 0.3480, 0.8479)
Ir (0.2500, 0.6520, 0.1521)

---

Record 11
First-principles (PBE) data for an optimized crystal structure of K2CrBi, as listed in the Alexandria database.

Summary:
energy of formation: 312 meV/atom
M_tot: 4.76 μB per formula unit
total DFT energy (no corrections): -0.1328 Ha/atom

abc: 13.1014 13.1014 9.6303
angles: 47.14 47.14 90.00
Last column: magnetic moment on the atom in μB.
Fractional coordinates of all 8 atoms:
Cr (0.2500, 0.7500, 0.5000)  3.94
Cr (0.5000, 0.5000, 0.0000)  3.94
K (0.3169, 0.6250, 0.2500)  0.02
K (0.4331, 0.1250, 0.2500)  0.02
K (0.8750, 0.6831, 0.7500)  0.02
K (0.3750, 0.5669, 0.7500)  0.02
Bi (0.0000, 0.0000, 0.0000)  -0.16
Bi (0.7500, 0.2500, 0.5000)  -0.16

---

Record 12
First-principles (PBE) data for an optimized crystal structure of Tl8Se3Br2, as listed in the Alexandria database.

Summary:
energy relative to the elements, uncorrected: -0.49 eV/atom
M_tot: 0.00 μB per formula unit
total DFT energy (no corrections): -0.1104 Ha/atom

abc: 7.6540 10.3012 10.3012
angles: 49.37 57.32 57.32
Fractional coordinates of all 13 atoms:
Se (0.0000, 0.7522, 0.2478)
Se (0.5000, 0.0000, 0.0000)
Se (0.0000, 0.2478, 0.7522)
Br (0.5829, 0.7518, 0.7518)
Br (0.4171, 0.2482, 0.2482)
Tl (0.0682, 0.5943, 0.5943)
Tl (0.4971, 0.8548, 0.3733)
Tl (0.4971, 0.3733, 0.8548)
Tl (0.5029, 0.6267, 0.1452)
Tl (0.9318, 0.4057, 0.4057)
Tl (0.5029, 0.1452, 0.6267)
Tl (0.9972, 0.1203, 0.1203)
Tl (0.0028, 0.8797, 0.8797)